Entry 1:
The following is a GGA-PBE calculation of crystalline Re4BrCl at its relaxed geometry, from Alexandria via LeMat-Bulk.

a b c (Å): 7.5577 7.5577 7.5577
angles (deg): 90.00 90.00 90.00
Space group F-43m (No. 216)
Asymmetric unit:
Re: 0.1250 0.1250 0.1250 (multiplicity 16)
Br: 0.2500 0.2500 0.7500 (multiplicity 4)
Cl: 0.0000 0.0000 0.5000 (multiplicity 4)

Entry 2:
The following is a GGA-PBE calculation of crystalline Re2BrCl at its relaxed geometry, from Alexandria via LeMat-Bulk.

a b c (Å): 2.9659 2.9659 25.1289
angles (deg): 90.00 90.00 120.00
Space group R-3m (No. 166, hexagonal axes)
Asymmetric unit:
Re: 0.0000 0.0000 0.2486 (multiplicity 6)
Br: 0.0000 0.0000 0.0000 (multiplicity 3)
Cl: 0.0000 0.0000 0.5000 (multiplicity 3)

Computed properties:
ΔE to the lowest computed polymorph   1228.8 meV/atom

What are the VASP energy values for these records? In order: -0.5336, -0.4292 Ry per atom.
What are the uncorrected formation energy values for these records? In order: 1.626, 1.265 eV/atom.